# 1
Entry from Alexandria via LeMat-Bulk: a relaxed SrYGe3 crystal (PBE-GGA).

Summary:
**E_tot**: -4.3907 eV per atom
**Energy of formation from the pure elements**: 0.01 eV/atom
**Distance to the lowest polymorph of the same formula**: 629 meV per atom
**ρ**: 4.17 g/cm3
**V**: 157 Å³/f.u.

abc: 5.3967 5.3967 5.3967
angles: 90.00 90.00 90.00
Closest atoms and distances in Å follow each position.
Space group Pm-3m (No. 221)
One atom of each set of equivalent atoms:
Sr (0.0000, 0.0000, 0.0000) x1  12 Ge 3.82
Y (0.5000, 0.5000, 0.5000) x1  6 Ge 2.70
Ge (0.0000, 0.5000, 0.5000) x3  2 Y 2.70

***

# 2
Entry from Alexandria via LeMat-Bulk: a relaxed YPtW crystal (PBE-GGA).

Summary:
**E_tot**: -8.4166 eV per atom
**Energy of formation from the pure elements**: 0.07 eV/atom
**ρ**: 13.37 g/cm3
**V**: 58 Å³/f.u.

abc: 4.7434 4.7434 2.9818
angles: 90.00 90.00 120.00
Closest atoms and distances in Å follow each position.
Space group P-6m2 (No. 187)
One atom of each set of equivalent atoms:
Y (0.0000, 0.0000, 0.0000) x1  2 Y 2.98, 6 W 3.12, 6 Pt 3.12
Pt (0.6667, 0.3333, 0.5000) x1  3 W 2.74, 2 Pt 2.98
W (0.3333, 0.6667, 0.5000) x1  3 Pt 2.74, 2 W 2.98

***

# 3
Entry from Alexandria via LeMat-Bulk: a relaxed Li3DyHo2Te6 crystal (PBE-GGA).

Summary:
**E_tot**: -4.4843 eV per atom
**ρ**: 6.17 g/cm3
**V**: 344 Å³/f.u.
**Energy relative to the elements, uncorrected**: -1289 meV per atom

abc: 7.5040 12.9980 7.4866
angles: 90.00 109.52 90.00
Closest atoms and distances in Å follow each position.
Space group C2/m (No. 12)
One atom of each set of equivalent atoms:
Li (0.0000, 0.0000, 0.0000) x2  6 Te 3.04-3.05
Li (0.0000, 0.3334, 0.0000) x4  6 Te 3.04-3.05
Dy (0.0000, 0.5000, 0.5000) x2  6 Te 3.09
Ho (0.0000, 0.1667, 0.5000) x4  6 Te 3.08
Te (0.2480, 0.1671, 0.2454) x8  3 Li 3.04-3.05, 2 Ho 3.08, 1 Dy 3.09
Te (0.2494, 0.5000, 0.2453) x4  3 Li 3.04, 2 Ho 3.08, 1 Dy 3.09

***

# 4
Entry from Alexandria via LeMat-Bulk: a relaxed NpZn2O5 crystal (PBE-GGA).

Summary:
**E_tot**: -6.8669 eV per atom
**ρ**: 4.54 g/cm3
**V**: 164 Å³/f.u.
**Energy relative to the elements, uncorrected**: -1832 meV per atom

abc: 9.7061 6.5354 6.1938
angles: 90.00 123.46 90.00
Closest atoms and distances in Å follow each position.
Space group Cm (No. 8)
One atom of each set of equivalent atoms:
Np (0.0000, 0.0000, 0.0000) x2  2 O 1.84
Zn (0.3038, 0.2876, 0.3395) x4  3 O 1.90-1.97
O (0.0226, 0.2805, 0.0154) x4  1 Np 1.84
O (0.2697, 0.0000, 0.3058) x2  2 Zn 1.90
O (0.3301, 0.5000, 0.5860) x2  2 Zn 1.97, 1 Np 2.15
O (0.3717, 0.5000, 0.1904) x2  2 Zn 1.97, 1 Np 2.14